(1)
Entry from Alexandria via LeMat-Bulk: ScReAg2 after structural relaxation (PBE).

Cell and atoms, written as CIF:
```
data_ScReAg2
_chemical_formula_sum 'Sc1 Re1 Ag2'
_symmetry_space_group_name_H-M 'P 1 2/m 1'
_symmetry_Int_Tables_number 10
_cell_length_a 2.759
_cell_length_b 4.924
_cell_length_c 5.234
_cell_angle_alpha 90.00
_cell_angle_beta 100.12
_cell_angle_gamma 90.00
loop_
_symmetry_equiv_pos_as_xyz
'x,y,z'
'-x,-y,-z'
'-x,y,-z'
'x,-y,z'
loop_
_atom_site_label
_atom_site_type_symbol
_atom_site_fract_x
_atom_site_fract_y
_atom_site_fract_z
Sc1 Sc 0.000 0.000 0.000
Re1 Re 0.500 0.000 0.500
Ag1 Ag 0.259 0.500 0.743
```

Results
The value obtained for the total magnetic moment is 0.002 Bohr magnetons per cell. The calculation puts the energy of formation from the pure elements at 311 meV per atom. For the total DFT energy (no corrections), the calculation gives -23.2 eV per cell.

---

(2)
Entry from Alexandria via LeMat-Bulk: LiCa2Br after structural relaxation (PBE).

Cell and atoms, written as CIF:
```
data_LiCa2Br
_chemical_formula_sum 'Li4 Ca8 Br4'
_symmetry_space_group_name_H-M 'I -4 2 d'
_symmetry_Int_Tables_number 122
_symmetry_space_group_name_Hall 'I -4 2bw'
_cell_length_a 8.344
_cell_length_b 8.344
_cell_length_c 7.962
_cell_angle_alpha 90.00
_cell_angle_beta 90.00
_cell_angle_gamma 90.00
loop_
_atom_site_label
_atom_site_type_symbol
_atom_site_fract_x
_atom_site_fract_y
_atom_site_fract_z
Li1 Li 0.000 0.000 0.000
Ca1 Ca 0.227 0.250 0.625
Br1 Br 0.000 0.000 0.500
```

Results
The value obtained for the total magnetic moment is 0.000 Bohr magnetons per cell. The formation energy from raw total energies comes out at -463 meV per atom. For the total DFT energy (no corrections), the calculation gives -37.8 eV per cell.

---

(3)
Entry from Alexandria via LeMat-Bulk: LiTaZn2 after structural relaxation (PBE).

Cell and atoms, written as CIF:
```
data_LiTaZn2
_chemical_formula_sum 'Li4 Ta4 Zn8'
_symmetry_space_group_name_H-M 'F m -3 m'
_symmetry_Int_Tables_number 225
_symmetry_space_group_name_Hall '-F 4 2 3'
_cell_length_a 6.256
_cell_length_b 6.256
_cell_length_c 6.256
_cell_angle_alpha 90.00
_cell_angle_beta 90.00
_cell_angle_gamma 90.00
loop_
_atom_site_label
_atom_site_type_symbol
_atom_site_fract_x
_atom_site_fract_y
_atom_site_fract_z
Li1 Li 0.000 0.000 0.000
Ta1 Ta 0.000 0.000 0.500
Zn1 Zn 0.250 0.250 0.250
```

Results
The value obtained for the total magnetic moment is 0.000 Bohr magnetons per cell. The calculation puts the energy of formation from the pure elements at 165 meV per atom. For the total DFT energy (no corrections), the calculation gives -62.6 eV per cell.

---

(4)
Entry from Alexandria via LeMat-Bulk: Ac2PuAgSe5 after structural relaxation (PBE).

Cell and atoms, written as CIF:
```
data_Ac2PuAgSe5
_chemical_formula_sum 'Ac8 Pu4 Ag4 Se20'
_symmetry_space_group_name_H-M 'C m c 21'
_symmetry_Int_Tables_number 36
_cell_length_a 4.327
_cell_length_b 18.059
_cell_length_c 12.804
_cell_angle_alpha 90.00
_cell_angle_beta 90.00
_cell_angle_gamma 90.00
loop_
_symmetry_equiv_pos_as_xyz
'x,y,z'
'-x,-y,z+1/2'
'-x,y,z'
'x,-y,z+1/2'
'x+1/2,y+1/2,z'
'-x+1/2,-y+1/2,z+1/2'
'-x+1/2,y+1/2,z'
'x+1/2,-y+1/2,z+1/2'
loop_
_atom_site_label
_atom_site_type_symbol
_atom_site_fract_x
_atom_site_fract_y
_atom_site_fract_z
Ac1 Ac 0.000 0.112 0.000
Ac2 Ac 0.000 0.125 0.622
Pu1 Pu 0.000 0.196 0.322
Ag1 Ag 0.000 0.447 0.771
Se1 Se 0.000 0.046 0.384
Se2 Se 0.000 0.291 0.977
Se3 Se 0.000 0.306 0.665
Se4 Se 0.000 0.359 0.315
Se5 Se 0.000 0.498 0.083
```

Results
The value obtained for the total magnetic moment is 20.001 Bohr magnetons per cell. The formation energy from raw total energies comes out at -1539 meV per atom. For the total DFT energy (no corrections), the calculation gives -226.7 eV per cell.

---

(5)
Entry from Alexandria via LeMat-Bulk: La5Os2Pt2 after structural relaxation (PBE).

Cell and atoms, written as CIF:
```
data_La5Os2Pt2
_chemical_formula_sum 'La20 Os8 Pt8'
_symmetry_space_group_name_H-M 'C m c e'
_symmetry_Int_Tables_number 64
_symmetry_space_group_name_Hall '-C 2ac 2'
_cell_length_a 15.478
_cell_length_b 7.810
_cell_length_c 7.761
_cell_angle_alpha 90.00
_cell_angle_beta 90.00
_cell_angle_gamma 90.00
loop_
_atom_site_label
_atom_site_type_symbol
_atom_site_fract_x
_atom_site_fract_y
_atom_site_fract_z
La1 La 0.000 0.000 0.000
La2 La 0.135 0.180 0.325
Os1 Os 0.000 0.118 0.613
Pt1 Pt 0.209 0.000 0.000
```

Results
The value obtained for the total magnetic moment is 0.000 Bohr magnetons per cell. The calculation puts the energy of formation from the pure elements at -549 meV per atom. For the total DFT energy (no corrections), the calculation gives -256.5 eV per cell.

---

(6)
Entry from Alexandria via LeMat-Bulk: Cs2LaI4 after structural relaxation (PBE).

Cell and atoms, written as CIF:
```
data_Cs2LaI4
_chemical_formula_sum 'Cs4 La2 I8'
_symmetry_space_group_name_H-M 'P b a m'
_symmetry_Int_Tables_number 55
_cell_length_a 9.826
_cell_length_b 16.488
_cell_length_c 4.512
_cell_angle_alpha 90.00
_cell_angle_beta 90.00
_cell_angle_gamma 90.00
loop_
_symmetry_equiv_pos_as_xyz
'x,y,z'
'-x,-y,-z'
'-x,-y,z'
'x,y,-z'
'x+1/2,-y+1/2,-z'
'-x+1/2,y+1/2,z'
'-x+1/2,y+1/2,-z'
'x+1/2,-y+1/2,z'
loop_
_atom_site_label
_atom_site_type_symbol
_atom_site_fract_x
_atom_site_fract_y
_atom_site_fract_z
Cs1 Cs 0.081 0.166 0.000
La1 La 0.000 0.500 0.500
I1 I 0.109 0.686 0.500
I2 I 0.235 0.455 0.000
```

Results
The value obtained for the total magnetic moment is 0.837 Bohr magnetons per cell. The formation energy from raw total energies comes out at -1414 meV per atom. For the total DFT energy (no corrections), the calculation gives -45.5 eV per cell.

---

- The lowest total DFT energy (no corrections) belongs to which entry?
  La5Os2Pt2

---

- The highest total magnetic moment belongs to which entry?
  Ac2PuAgSe5

---

- Which value of total DFT energy (no corrections) does entry 4 give?
  -226.7 eV per cell